--- a ---
# SiHgPb2

A geometry-optimized SiHgPb2 structure (GGA-PBE, Alexandria).

```
SiHgPb2
1.0
6.367 0.056 0.014
3.031 5.599 -0.014
-4.019 -3.958 2.953
Pb Hg Si
2 1 1
Cartesian
3.206 -0.728 1.484 Pb
0.090 0.054 0.000 Pb
2.172 2.425 1.470 Hg
4.610 2.774 0.000 Si
```

Computed properties:
total magnetization	0.00	μB/cell
DOS at the Fermi energy	2.13	states/eV/f.u.
space group	No. 44
calculated volume	26.14	Å³/atom

--- b ---
# SiHgPb2

A geometry-optimized SiHgPb2 structure (GGA-PBE, Alexandria).

```
SiHgPb2
1.0
10.785 0.033 0.019
10.216 3.458 0.019
10.216 1.698 3.012
Hg Pb Si
1 2 1
Cartesian
23.413 3.891 2.288 Hg
16.000 2.659 1.564 Pb
30.825 5.124 3.013 Pb
7.804 1.297 0.763 Si
```

Computed properties:
total magnetization	0.00	μB/cell
DOS at the Fermi energy	1.42	states/eV/f.u.
space group	No. 166
calculated volume	27.66	Å³/atom

--- c ---
# SiHgPb2

A geometry-optimized SiHgPb2 structure (GGA-PBE, Alexandria).

```
SiHgPb2
1.0
-0.815 -0.567 3.209
3.347 -0.167 0.232
0.342 9.248 1.721
Pb Si Hg
2 1 1
Cartesian
1.364 2.272 2.211 Pb
0.336 9.076 1.689 Pb
0.177 4.787 0.891 Si
1.511 6.251 2.952 Hg
```

Computed properties:
total magnetization	0.00	μB/cell
DOS at the Fermi energy	2.06	states/eV/f.u.
space group	No. 35
calculated volume	26.18	Å³/atom

The winner here is b, beating the second structure by 27 meV per atom.

--- a ---
# SiHg2Pb2

A geometry-optimized SiHg2Pb2 structure (GGA-PBE, Alexandria).

```
SiHg2Pb2
1.0
-0.186 -4.894 -5.160
6.140 -2.716 2.354
-2.662 -3.258 3.186
Pb Si Hg
4 2 4
Cartesian
-0.317 -3.695 0.328 Pb
3.608 -7.173 0.051 Pb
0.510 -6.549 -1.899 Pb
2.781 -4.319 2.279 Pb
0.000 0.000 0.000 Si
2.977 -3.805 -1.403 Si
5.179 -4.054 0.183 Hg
0.774 -3.556 -2.989 Hg
3.806 -5.935 -2.888 Hg
2.148 -1.675 0.082 Hg
```

Computed properties:
total magnetization	0.00	μB/cell
DOS at the Fermi energy	3.34	states/eV/f.u.
space group	No. 127
calculated volume	26.71	Å³/atom

--- b ---
# SiHg2Pb2

A geometry-optimized SiHg2Pb2 structure (GGA-PBE, Alexandria).

```
SiHg2Pb2
1.0
7.609 0.000 0.000
0.000 7.609 0.000
0.000 0.000 4.983
Pb Hg Si
4 4 2
Cartesian
4.996 1.192 0.000 Pb
2.613 6.417 0.000 Pb
6.417 4.996 0.000 Pb
1.192 2.613 0.000 Pb
4.991 6.422 2.491 Hg
2.618 1.187 2.491 Hg
6.422 2.618 2.491 Hg
1.187 4.991 2.491 Hg
0.000 0.000 0.000 Si
3.805 3.805 0.000 Si
```

Computed properties:
total magnetization	0.00	μB/cell
DOS at the Fermi energy	2.34	states/eV/f.u.
space group	No. 127
calculated volume	28.85	Å³/atom

The winner here is a, beating the second structure by 53 meV per atom.

--- a ---
# SiHg3Pb

A geometry-optimized SiHg3Pb structure (GGA-PBE, Alexandria).

```
SiHg3Pb
1.0
-3.177 3.401 -2.309
-3.817 -1.357 3.253
1.526 3.685 3.328
Hg Si Pb
3 1 1
Cartesian
-1.589 1.700 -1.154 Hg
-1.908 -0.679 1.626 Hg
0.763 1.843 1.664 Hg
0.000 0.000 0.000 Si
-2.734 2.864 2.136 Pb
```

Computed properties:
total magnetization	0.00	μB/cell
DOS at the Fermi energy	2.93	states/eV/f.u.
space group	No. 221
calculated volume	28.04	Å³/atom

--- b ---
# SiHg3Pb

A geometry-optimized SiHg3Pb structure (GGA-PBE, Alexandria).

```
SiHg3Pb
1.0
5.833 0.000 0.000
0.000 5.833 0.000
0.000 0.000 5.833
Pb Hg Si
1 3 1
Cartesian
0.000 0.000 0.000 Pb
0.000 2.916 0.000 Hg
2.916 0.000 0.000 Hg
0.000 0.000 2.916 Hg
2.916 2.916 2.916 Si
```

Computed properties:
total magnetization	2.21	μB/cell
DOS at the Fermi energy	4.36	states/eV/f.u.
space group	No. 221
calculated volume	39.68	Å³/atom

The winner here is a, beating the second structure by 543 meV per atom.

--- a ---
# SiHgPb

A geometry-optimized SiHgPb structure (GGA-PBE, Alexandria).

```
SiHgPb
1.0
-4.230 0.744 1.163
0.976 -1.271 -4.151
-0.422 -4.311 1.221
Si Pb Hg
1 1 1
Cartesian
-1.100 -4.076 -1.395 Si
-2.637 -1.376 -0.199 Pb
-0.362 -3.697 1.047 Hg
```

Computed properties:
total magnetization	0.00	μB/cell
DOS at the Fermi energy	0.73	states/eV/f.u.
space group	No. 156
calculated volume	25.72	Å³/atom

--- b ---
# SiHgPb

A geometry-optimized SiHgPb structure (GGA-PBE, Alexandria).

```
SiHgPb
1.0
6.541 -0.030 0.000
4.727 4.521 0.000
-5.634 -2.245 2.449
Hg Pb Si
1 1 1
Cartesian
11.014 4.389 0.000 Hg
7.639 3.044 0.000 Pb
3.883 1.548 0.000 Si
```

Computed properties:
total magnetization	0.00	μB/cell
DOS at the Fermi energy	1.54	states/eV/f.u.
space group	No. 107
calculated volume	24.26	Å³/atom

The winner here is a, beating the second structure by 58 meV per atom.

--- a ---
# SiHg2PbW

A geometry-optimized SiHg2PbW structure (GGA-PBE, Alexandria).

```
SiHg2PbW
1.0
-1.147 0.166 5.453
-4.056 -3.583 -0.745
3.554 -4.206 0.875
Hg W Si Pb
2 1 1 1
Cartesian
1.777 -2.103 0.438 Hg
-0.574 0.083 2.727 Hg
-2.028 -1.791 -0.372 W
-0.825 -3.811 2.792 Si
0.000 0.000 0.000 Pb
```

Computed properties:
total magnetization	2.46	μB/cell
DOS at the Fermi energy	3.52	states/eV/f.u.
space group	No. 123
calculated volume	33.96	Å³/atom

--- b ---
# SiHg2PbW

A geometry-optimized SiHg2PbW structure (GGA-PBE, Alexandria).

```
SiHg2PbW
1.0
5.099 0.000 0.000
0.000 4.808 0.000
0.000 0.000 5.099
W Hg Pb Si
1 2 1 1
Cartesian
0.000 2.404 0.000 W
0.000 0.000 2.550 Hg
2.550 0.000 0.000 Hg
2.550 2.404 2.550 Pb
0.000 0.000 0.000 Si
```

Computed properties:
total magnetization	2.19	μB/cell
DOS at the Fermi energy	2.91	states/eV/f.u.
space group	No. 123
calculated volume	25.00	Å³/atom

The winner here is b, beating the second structure by 906 meV per atom.

--- a ---
# Sm3HgPb2

A geometry-optimized Sm3HgPb2 structure (GGA-PBE, Alexandria).

```
Sm3HgPb2
1.0
-4.329 0.782 4.784
-3.172 -5.384 -1.990
7.721 -3.446 3.136
Sm Pb Hg
6 4 2
Cartesian
1.097 -1.483 2.186 Sm
-3.584 -0.842 2.586 Sm
-0.223 -3.704 5.770 Sm
-3.917 -3.760 0.208 Sm
0.443 -4.344 0.161 Sm
-0.876 -6.565 3.744 Sm
1.918 -4.384 3.376 Pb
-1.697 -3.664 2.554 Pb
-1.017 -0.808 4.550 Pb
1.238 -7.240 1.380 Pb
-1.351 -1.245 0.119 Hg
-6.150 -3.357 2.674 Hg
```

Computed properties:
total magnetization	0.00	μB/cell
DOS at the Fermi energy	4.78	states/eV/f.u.
space group	No. 15
calculated volume	29.14	Å³/atom

--- b ---
# Sm3HgPb2

A geometry-optimized Sm3HgPb2 structure (GGA-PBE, Alexandria).

```
Sm3HgPb2
1.0
4.790 0.000 0.000
0.000 11.930 0.000
0.000 0.000 12.701
Sm Hg Pb
12 4 8
Cartesian
1.197 8.163 2.590 Sm
3.592 3.767 10.111 Sm
3.592 2.198 3.761 Sm
3.592 11.081 1.732 Sm
3.592 7.462 12.224 Sm
1.197 1.497 6.828 Sm
1.197 9.732 8.940 Sm
3.592 10.434 5.874 Sm
1.197 0.849 10.969 Sm
3.592 6.814 8.083 Sm
1.197 4.468 0.477 Sm
1.197 5.116 4.619 Sm
3.592 10.120 10.749 Hg
3.592 7.776 4.398 Hg
1.197 4.155 8.303 Hg
1.197 1.811 1.952 Hg
1.197 11.541 4.046 Pb
3.592 2.061 0.079 Pb
3.592 0.390 8.655 Pb
3.592 3.904 6.430 Pb
1.197 9.869 12.622 Pb
1.197 8.026 6.271 Pb
1.197 6.355 10.397 Pb
3.592 5.576 2.304 Pb
```

Computed properties:
total magnetization	0.00	μB/cell
DOS at the Fermi energy	4.79	states/eV/f.u.
space group	No. 62
calculated volume	30.24	Å³/atom

The winner here is b, beating the second structure by 25 meV per atom.

--- a ---
# SmHgPb3

A geometry-optimized SmHgPb3 structure (GGA-PBE, Alexandria).

```
SmHgPb3
1.0
-0.946 2.960 1.768
-6.367 -3.771 -4.079
-0.026 -5.748 9.574
Hg Pb Sm
2 6 2
Cartesian
-4.293 -1.447 0.182 Hg
-3.047 -5.113 7.081 Hg
-7.202 -5.217 5.030 Pb
-0.138 -1.342 2.233 Pb
-1.636 -3.274 4.695 Pb
-5.176 -7.757 6.688 Pb
-5.704 -3.286 2.568 Pb
-2.163 1.198 0.575 Pb
-3.390 -0.777 3.165 Sm
-3.950 -5.783 4.099 Sm
```

Computed properties:
total magnetization	0.00	μB/cell
DOS at the Fermi energy	2.60	states/eV/f.u.
space group	No. 2
calculated volume	30.16	Å³/atom

--- b ---
# SmHgPb3

A geometry-optimized SmHgPb3 structure (GGA-PBE, Alexandria).

```
SmHgPb3
1.0
4.196 -1.182 -1.105
-0.657 6.032 0.284
-0.771 -0.012 6.098
Hg Pb Sm
1 3 1
Cartesian
0.020 3.192 0.209 Hg
0.540 1.656 3.683 Pb
2.898 3.422 1.739 Pb
1.622 4.888 4.449 Pb
1.803 0.352 0.820 Sm
```

Computed properties:
total magnetization	0.00	μB/cell
DOS at the Fermi energy	2.53	states/eV/f.u.
space group	No. 1
calculated volume	28.94	Å³/atom

The winner here is b, beating the second structure by 81 meV per atom.

--- a ---
# SmHg4Pb

A geometry-optimized SmHg4Pb structure (GGA-PBE, Alexandria).

```
SmHg4Pb
1.0
-1.903 2.691 -5.092
-4.919 -2.081 -2.873
-5.123 3.246 0.018
Hg Sm Pb
4 1 1
Cartesian
-6.515 1.064 -2.421 Hg
-7.467 2.410 -4.967 Hg
-4.904 0.786 -4.976 Hg
-5.006 3.451 -3.530 Hg
-2.987 0.964 -1.987 Sm
0.000 0.000 0.000 Pb
```

Computed properties:
total magnetization	0.00	μB/cell
DOS at the Fermi energy	1.60	states/eV/f.u.
space group	No. 216
calculated volume	26.30	Å³/atom

--- b ---
# SmHg4Pb

A geometry-optimized SmHg4Pb structure (GGA-PBE, Alexandria).

```
SmHg4Pb
1.0
-2.323 -3.439 -2.280
-2.841 -0.527 3.688
-5.776 4.456 -0.837
Sm Hg Pb
1 4 1
Cartesian
-2.582 -1.983 0.704 Sm
-5.447 1.121 -1.059 Hg
-5.493 -0.631 1.631 Hg
-2.894 1.334 0.937 Hg
-5.722 2.596 1.915 Hg
0.000 0.000 0.000 Pb
```

Computed properties:
total magnetization	0.00	μB/cell
DOS at the Fermi energy	2.50	states/eV/f.u.
space group	No. 65
calculated volume	25.73	Å³/atom

--- c ---
# SmHg4Pb

A geometry-optimized SmHg4Pb structure (GGA-PBE, Alexandria).

```
SmHg4Pb
1.0
4.507 0.000 -2.033
0.000 8.002 0.000
-3.631 0.000 10.323
Pb Hg Sm
2 8 2
Cartesian
2.253 4.001 -1.016 Pb
2.253 0.000 -1.016 Pb
-0.104 0.205 6.011 Hg
-0.104 3.796 6.011 Hg
0.748 6.001 7.996 Hg
-1.087 6.001 3.714 Hg
1.963 2.000 4.576 Hg
0.979 4.206 2.279 Hg
0.979 7.797 2.279 Hg
0.127 2.000 0.294 Hg
2.068 6.001 4.785 Sm
-1.192 2.000 3.505 Sm
```

Computed properties:
total magnetization	0.00	μB/cell
DOS at the Fermi energy	2.40	states/eV/f.u.
space group	No. 11
calculated volume	26.10	Å³/atom

The winner here is b, beating the second structure by 10 meV per atom.

--- a ---
# Sm2Hg4Pb

A geometry-optimized Sm2Hg4Pb structure (GGA-PBE, Alexandria).

```
Sm2Hg4Pb
1.0
-3.572 -2.586 3.557
2.493 -4.966 -1.106
5.501 4.965 4.621
Hg Sm Pb
4 2 1
Cartesian
-1.786 -1.293 1.779 Hg
1.247 -2.483 -0.553 Hg
2.464 -3.056 4.764 Hg
1.959 0.470 2.308 Hg
0.530 -3.519 2.486 Sm
3.892 0.933 4.587 Sm
0.000 0.000 0.000 Pb
```

Computed properties:
total magnetization	0.00	μB/cell
DOS at the Fermi energy	6.27	states/eV/f.u.
space group	No. 139
calculated volume	35.58	Å³/atom

--- b ---
# Sm2Hg4Pb

A geometry-optimized Sm2Hg4Pb structure (GGA-PBE, Alexandria).

```
Sm2Hg4Pb
1.0
4.994 0.000 1.560
2.253 4.457 1.560
0.105 0.065 8.435
Hg Sm Pb
4 2 1
Cartesian
3.192 1.963 7.328 Hg
4.161 2.559 4.227 Hg
1.063 0.654 5.371 Hg
6.290 3.868 6.185 Hg
2.006 1.233 2.353 Sm
5.347 3.288 9.203 Sm
0.000 0.000 0.000 Pb
```

Computed properties:
total magnetization	0.00	μB/cell
DOS at the Fermi energy	3.50	states/eV/f.u.
space group	No. 166
calculated volume	26.68	Å³/atom

The winner here is b, beating the second structure by 440 meV per atom.

--- a ---
# Sm2Hg3Pb

A geometry-optimized Sm2Hg3Pb structure (GGA-PBE, Alexandria).

```
Sm2Hg3Pb
1.0
3.457 0.000 -0.920
-0.321 4.241 -1.205
1.146 0.983 11.262
Hg Sm Pb
3 2 1
Cartesian
1.480 3.996 5.560 Hg
2.624 3.328 2.905 Hg
1.824 2.414 -0.100 Hg
0.628 0.718 2.360 Sm
3.801 2.369 7.325 Sm
2.331 4.969 8.756 Pb
```

Computed properties:
total magnetization	0.00	μB/cell
DOS at the Fermi energy	4.16	states/eV/f.u.
space group	No. 44
calculated volume	29.00	Å³/atom

--- b ---
# Sm2Hg3Pb

A geometry-optimized Sm2Hg3Pb structure (GGA-PBE, Alexandria).

```
Sm2Hg3Pb
1.0
-0.633 -3.383 0.152
0.320 -0.317 -5.729
8.885 0.242 3.364
Sm Hg Pb
2 3 1
Cartesian
6.021 -1.109 0.397 Sm
2.550 -2.349 -2.610 Sm
5.536 -2.899 -2.413 Hg
3.035 -0.559 0.200 Hg
0.160 -0.158 -2.864 Hg
0.000 0.000 0.000 Pb
```

Computed properties:
total magnetization	0.00	μB/cell
DOS at the Fermi energy	4.01	states/eV/f.u.
space group	No. 71
calculated volume	29.35	Å³/atom

The winner here is a, beating the second structure by 53 meV per atom.

--- a ---
# SmTmHgPb

A geometry-optimized SmTmHgPb structure (GGA-PBE, Alexandria).

```
SmTmHgPb
1.0
-1.202 4.563 2.543
-4.905 2.112 -0.460
-3.349 -0.066 4.184
Tm Sm Pb Hg
1 1 1 1
Cartesian
0.000 0.000 0.000 Tm
-4.728 3.304 3.134 Sm
-2.364 1.652 1.567 Pb
-7.092 4.957 4.701 Hg
```

Computed properties:
total magnetization	0.00	μB/cell
DOS at the Fermi energy	4.81	states/eV/f.u.
space group	No. 216
calculated volume	27.22	Å³/atom

--- b ---
# SmTmHgPb

A geometry-optimized SmTmHgPb structure (GGA-PBE, Alexandria).

```
SmTmHgPb
1.0
3.830 0.000 0.000
0.000 3.830 0.000
0.000 0.000 7.424
Sm Hg Pb Tm
1 1 1 1
Cartesian
0.000 0.000 6.314 Sm
1.915 1.915 4.396 Hg
1.915 1.915 0.874 Pb
0.000 0.000 2.730 Tm
```

Computed properties:
total magnetization	0.00	μB/cell
DOS at the Fermi energy	2.98	states/eV/f.u.
space group	No. 99
calculated volume	27.23	Å³/atom

The winner here is b, beating the second structure by 10 meV per atom.